## LiHgIr2 (PBE-GGA)

Data for crystalline LiHgIr2 at its relaxed geometry.

Values from the calculation:
- space group = C2/m
- Fermi-level density of states (states/eV per cell) = 3.61
- energy (eV per atom) = -4.90
- energy of formation from the pure elements (eV per atom) = 0.082

a b c (Å): 4.880 4.880 4.787
angles (deg): 81.17 81.17 33.40
Element x y z (fractional)
Hg1 0.250 0.250 0.250
Ir1 0.005 0.005 0.980
Ir2 0.495 0.495 0.520
Li1 0.750 0.750 0.750


## InTc2Os (PBE-GGA)

Data for crystalline InTc2Os at its relaxed geometry.

Values from the calculation:
- space group = Cmmm
- Fermi-level density of states (states/eV per cell) = 5.00
- energy (eV per atom) = -8.23
- energy of formation from the pure elements (eV per atom) = 0.445

a b c (Å): 4.936 4.936 2.853
angles (deg): 90.03 90.03 114.37
Element x y z (fractional)
In1 0.500 0.000 0.500
Os1 0.000 0.500 0.500
Tc1 0.000 0.000 0.000
Tc2 0.500 0.500 0.000


## Cs2CaCuBr6 (PBE-GGA)

Data for crystalline Cs2CaCuBr6 at its relaxed geometry.

Values from the calculation:
- space group = I4/mmm
- Fermi-level density of states (states/eV per cell) = 2.62
- energy (eV per atom) = -3.16

a b c (Å): 7.917 7.917 7.794
angles (deg): 59.48 59.48 90.00
Site moments in Bohr magnetons follow the coordinates.
Element x y z (fractional)
Cs1 0.750 0.250 0.500  0.00
Cs2 0.250 0.750 0.500  0.00
Ca1 0.500 0.500 0.000  0.02
Cu1 0.000 0.000 0.000  0.45
Br1 0.230 0.230 0.541  0.09
Br2 0.770 0.770 0.459  0.09
Br3 0.243 0.243 0.000  0.06
Br4 0.757 0.757 0.000  0.06
Br5 0.757 0.243 0.000  0.06
Br6 0.243 0.757 0.000  0.06


## Tm2Ga3Ni (PBE-GGA)

Data for crystalline Tm2Ga3Ni at its relaxed geometry.

Values from the calculation:
- space group = Cm
- Fermi-level density of states (states/eV per cell) = 2.81
- energy (eV per atom) = -4.61
- energy of formation from the pure elements (eV per atom) = -0.644

a b c (Å): 5.485 5.485 6.984
angles (deg): 51.74 51.74 46.42
Element x y z (fractional)
Tm1 0.539 0.539 0.709
Tm2 0.451 0.451 0.298
Ga1 0.852 0.852 0.680
Ga2 0.824 0.824 0.123
Ga3 0.164 0.164 0.908
Ni1 0.169 0.169 0.281


## AcPrY3 (PBE-GGA)

Data for crystalline AcPrY3 at its relaxed geometry.

Values from the calculation:
- space group = C2/c
- Fermi-level density of states (states/eV per cell) = 30.78
- energy relative to the lowest polymorph listed for this composition (meV per atom) = 95
- energy (eV per atom) = -5.52
- energy of formation from the pure elements (eV per atom) = 0.141

a b c (Å): 9.759 9.265 9.265
angles (deg): 119.53 90.02 90.01
Element x y z (fractional)
Ac1 0.750 0.427 0.573
Ac2 0.250 0.003 0.997
Ac3 0.750 0.997 0.003
Ac4 0.250 0.573 0.427
Pr1 0.566 0.403 0.204
Pr2 0.066 0.204 0.403
Pr3 0.934 0.796 0.597
Pr4 0.434 0.597 0.796
Y1 0.425 0.210 0.427
Y2 0.570 0.226 0.778
Y3 0.925 0.427 0.210
Y4 0.075 0.573 0.790
Y5 0.746 0.983 0.389
Y6 0.070 0.778 0.226
Y7 0.575 0.790 0.573
Y8 0.930 0.222 0.774
Y9 0.430 0.774 0.222
Y10 0.246 0.389 0.983
Y11 0.254 0.017 0.611
Y12 0.754 0.611 0.017


## YHo5Pd2 (PBE-GGA)

Data for crystalline YHo5Pd2 at its relaxed geometry.

Values from the calculation:
- space group = Cmcm
- Fermi-level density of states (states/eV per cell) = 18.01
- energy (eV per atom) = -5.35
- energy of formation from the pure elements (eV per atom) = -0.380

a b c (Å): 3.760 6.773 18.040
angles (deg): 90.00 90.00 106.12
Element x y z (fractional)
Y1 0.672 0.344 0.750
Y2 0.328 0.656 0.250
Ho1 0.947 0.894 0.905
Ho2 0.947 0.894 0.595
Ho3 0.339 0.677 0.451
Ho4 0.339 0.677 0.049
Ho5 0.593 0.187 0.250
Ho6 0.407 0.813 0.750
Ho7 0.661 0.323 0.549
Ho8 0.661 0.323 0.951
Ho9 0.053 0.106 0.095
Ho10 0.053 0.106 0.405
Pd1 0.729 0.459 0.368
Pd2 0.729 0.459 0.132
Pd3 0.271 0.541 0.632
Pd4 0.271 0.541 0.868


## Pm2ZrAl (PBE-GGA)

Data for crystalline Pm2ZrAl at its relaxed geometry.

Values from the calculation:
- space group = P4/mmm
- Fermi-level density of states (states/eV per cell) = 3.27
- energy relative to the lowest polymorph listed for this composition (meV per atom) = 48
- energy (eV per atom) = -5.51
- energy of formation from the pure elements (eV per atom) = -0.063

a b c (Å): 3.432 3.432 9.110
angles (deg): 90.00 90.00 90.00
Element x y z (fractional)
Al1 0.500 0.500 0.000
Zr1 0.500 0.500 0.500
Pm1 0.000 0.000 0.769
Pm2 0.000 0.000 0.231


## TaSI2 (PBE-GGA)

Data for crystalline TaSI2 at its relaxed geometry.

Values from the calculation:
- space group = Imm2
- Fermi-level density of states (states/eV per cell) = 1.11
- energy relative to the lowest polymorph listed for this composition (meV per atom) = 0
- energy (eV per atom) = -5.25

a b c (Å): 3.828 4.685 8.269
angles (deg): 106.45 103.38 90.00
Element x y z (fractional)
Ta1 0.500 0.008 0.000
S1 0.500 0.509 0.000
I1 0.137 0.147 0.274
I2 0.863 0.872 0.726


## V2HgBiOs (PBE-GGA)

Data for crystalline V2HgBiOs at its relaxed geometry.

Values from the calculation:
- space group = P4/mmm
- Fermi-level density of states (states/eV per cell) = 4.57
- energy (eV per atom) = -5.76
- energy of formation from the pure elements (eV per atom) = 0.974

a b c (Å): 4.878 5.148 4.878
angles (deg): 90.00 90.00 90.00
Site moments in Bohr magnetons follow the coordinates.
Element x y z (fractional)
V1 0.000 0.000 0.500  1.89
V2 0.500 0.000 0.000  2.66
Os1 0.000 0.000 0.000  -0.30
Bi1 0.000 0.500 0.000  -0.09
Hg1 0.500 0.500 0.500  -0.01


## ZrTa2Fe (PBE-GGA)

Data for crystalline ZrTa2Fe at its relaxed geometry.

Values from the calculation:
- space group = R3m
- Fermi-level density of states (states/eV per cell) = 4.24
- energy relative to the lowest polymorph listed for this composition (meV per atom) = 237
- energy (eV per atom) = -9.97
- energy of formation from the pure elements (eV per atom) = 0.208

a b c (Å): 9.000 9.000 9.000
angles (deg): 19.58 19.58 19.58
Site moments in Bohr magnetons follow the coordinates.
Element x y z (fractional)
Fe1 0.745 0.745 0.745  1.37
Ta1 0.009 0.009 0.009  -0.18
Ta2 0.254 0.254 0.254  -0.04
Zr1 0.492 0.492 0.492  -0.12


## Li3CrBr6 (PBE-GGA)

Data for crystalline Li3CrBr6 at its relaxed geometry.

Values from the calculation:
- space group = P2_1/c
- energy (eV per atom) = -3.71

a b c (Å): 6.594 7.235 10.276
angles (deg): 90.00 91.34 90.00
Site moments in Bohr magnetons follow the coordinates.
Element x y z (fractional)
Li1 0.490 0.893 0.832  0.00
Li2 0.500 0.500 0.000  0.00
Li3 0.510 0.107 0.168  0.00
Li4 0.990 0.607 0.332  0.00
Li5 0.000 0.000 0.500  0.00
Li6 0.010 0.393 0.668  0.00
Cr1 0.500 0.500 0.500  2.94
Cr2 0.000 0.000 0.000  2.94
Br1 0.685 0.183 0.941  -0.03
Br2 0.677 0.211 0.581  -0.02
Br3 0.638 0.441 0.273  -0.03
Br4 0.362 0.559 0.727  -0.03
Br5 0.323 0.789 0.419  -0.02
Br6 0.315 0.817 0.059  -0.03
Br7 0.185 0.317 0.441  -0.03
Br8 0.177 0.289 0.081  -0.02
Br9 0.138 0.059 0.773  -0.03
Br10 0.862 0.941 0.227  -0.03
Br11 0.823 0.711 0.919  -0.02
Br12 0.815 0.683 0.559  -0.03


## KMn3I8 (PBE-GGA)

Data for crystalline KMn3I8 at its relaxed geometry.

Values from the calculation:
- space group = C2/m
- Fermi-level density of states (states/eV per cell) = 5.75
- energy (eV per atom) = -3.92

a b c (Å): 8.667 8.772 8.585
angles (deg): 116.61 90.00 119.61
Site moments in Bohr magnetons follow the coordinates.
Element x y z (fractional)
K1 0.000 0.000 0.000  0.00
Mn1 0.500 0.000 0.000  3.99
Mn2 0.500 0.500 0.000  4.32
Mn3 0.000 0.500 0.000  4.32
I1 0.256 0.512 0.772  0.07
I2 0.744 0.488 0.228  0.07
I3 0.309 0.040 0.780  0.01
I4 0.731 0.040 0.780  0.01
I5 0.747 0.495 0.776  0.04
I6 0.253 0.505 0.224  0.04
I7 0.269 0.960 0.220  0.01
I8 0.691 0.960 0.220  0.01